Entry A
First-principles (PBE) data for a geometry-optimized Tb5Pm4 structure, as listed in Alexandria via LeMat-Bulk.

Output
Calculated volume   296.81 Å³ per cell

abc: 8.050 8.050 5.082
angles: 108.32 108.32 84.31
Atoms (fractional coordinates):
Tb  0.000  0.000  0.000
Tb  0.334  0.334  0.334
Tb  0.334  0.666  0.000
Tb  0.666  0.334  0.000
Tb  0.666  0.666  0.666
Pm  0.000  0.333  0.666
Pm  0.000  0.667  0.334
Pm  0.333  0.000  0.666
Pm  0.667  0.000  0.334

---

Entry B
First-principles (PBE) data for a geometry-optimized Tb5Pm4 structure, as listed in Alexandria via LeMat-Bulk.

Output
Calculated volume   592.85 Å³ per cell

abc: 9.840 9.840 7.070
angles: 90.00 90.00 120.00
Atoms (fractional coordinates):
Tb  0.000  0.322  0.250
Tb  0.000  0.678  0.750
Tb  0.322  0.000  0.250
Tb  0.322  0.322  0.750
Tb  0.333  0.667  0.000
Tb  0.333  0.667  0.500
Tb  0.667  0.333  0.000
Tb  0.667  0.333  0.500
Tb  0.678  0.000  0.750
Tb  0.678  0.678  0.250
Pm  0.000  0.000  0.000
Pm  0.000  0.000  0.500
Pm  0.000  0.347  0.750
Pm  0.000  0.653  0.250
Pm  0.347  0.000  0.750
Pm  0.347  0.347  0.250
Pm  0.653  0.000  0.250
Pm  0.653  0.653  0.750

---

Which one sits at the bottom of the stability order? entry B does.

---

Entry A
First-principles (PBE) data for a geometry-optimized Tb6Pm structure, as listed in Alexandria via LeMat-Bulk.

Output
Calculated volume   471.11 Å³ per cell

abc: 6.531 6.531 11.043
angles: 90.00 90.00 90.00
Atoms (fractional coordinates):
Tb  0.082  0.582  0.137
Tb  0.082  0.918  0.863
Tb  0.250  0.250  0.360
Tb  0.250  0.250  0.640
Tb  0.418  0.582  0.863
Tb  0.418  0.918  0.137
Tb  0.582  0.082  0.863
Tb  0.582  0.418  0.137
Tb  0.750  0.750  0.360
Tb  0.750  0.750  0.640
Tb  0.918  0.082  0.137
Tb  0.918  0.418  0.863
Pm  0.250  0.750  0.500
Pm  0.750  0.250  0.500

---

Entry B
First-principles (PBE) data for a geometry-optimized Tb6Pm structure, as listed in Alexandria via LeMat-Bulk.

Output
Calculated volume   260.13 Å³ per cell

abc: 6.965 6.965 6.965
angles: 109.47 109.47 109.47
Atoms (fractional coordinates):
Tb  0.250  0.500  0.750
Tb  0.250  0.750  0.500
Tb  0.500  0.250  0.750
Tb  0.500  0.750  0.250
Tb  0.750  0.250  0.500
Tb  0.750  0.500  0.250
Pm  0.000  0.000  0.000

---

Which one sits at the bottom of the stability order? entry B does.

---

Entry A
First-principles (PBE) data for a geometry-optimized Tb3Pm8 structure, as listed in Alexandria via LeMat-Bulk.

Output
Calculated volume   379.95 Å³ per cell

abc: 7.272 7.272 7.272
angles: 84.71 84.71 84.71
Atoms (fractional coordinates):
Tb  0.000  0.500  0.500
Tb  0.500  0.000  0.500
Tb  0.500  0.500  0.000
Pm  0.115  0.693  0.850
Pm  0.150  0.885  0.307
Pm  0.307  0.150  0.885
Pm  0.384  0.384  0.384
Pm  0.616  0.616  0.616
Pm  0.693  0.850  0.115
Pm  0.850  0.115  0.693
Pm  0.885  0.307  0.150

---

Entry B
First-principles (PBE) data for a geometry-optimized Tb3Pm8 structure, as listed in Alexandria via LeMat-Bulk.

Output
Calculated volume   381.53 Å³ per cell

abc: 7.611 7.611 7.611
angles: 105.46 105.46 105.46
Atoms (fractional coordinates):
Tb  0.000  0.500  0.500
Tb  0.500  0.000  0.500
Tb  0.500  0.500  0.000
Pm  0.071  0.176  0.683
Pm  0.176  0.683  0.071
Pm  0.269  0.269  0.269
Pm  0.317  0.929  0.824
Pm  0.683  0.071  0.176
Pm  0.731  0.731  0.731
Pm  0.824  0.317  0.929
Pm  0.929  0.824  0.317

---

Which one sits at the bottom of the stability order? entry A does.

---

Entry A
First-principles (PBE) data for a geometry-optimized TbPm3Tc structure, as listed in Alexandria via LeMat-Bulk.

Output
Calculated volume   297.55 Å³ per cell

abc: 6.464 6.464 13.165
angles: 111.26 111.26 35.81
Atoms (fractional coordinates):
Tb  0.000  0.000  0.000
Tb  0.118  0.118  0.274
Pm  0.312  0.312  0.764
Pm  0.338  0.338  0.133
Pm  0.648  0.648  0.520
Pm  0.666  0.666  0.895
Pm  0.872  0.872  0.379
Pm  0.980  0.980  0.658
Tc  0.310  0.310  0.516
Tc  0.670  0.670  0.131

---

Entry B
First-principles (PBE) data for a geometry-optimized TbPm3Tc structure, as listed in Alexandria via LeMat-Bulk.

Output
Calculated volume   164.90 Å³ per cell

abc: 5.484 5.484 5.484
angles: 90.00 90.00 90.00
Atoms (fractional coordinates):
Tb  0.000  0.000  0.000
Pm  0.000  0.500  0.500
Pm  0.500  0.000  0.500
Pm  0.500  0.500  0.000
Tc  0.500  0.500  0.500

---

Which one sits at the bottom of the stability order? entry B does.

---

Entry A
First-principles (PBE) data for a geometry-optimized Tb2PmTc structure, as listed in Alexandria via LeMat-Bulk.

Output
Calculated volume   113.69 Å³ per cell

abc: 11.246 11.246 11.246
angles: 17.61 17.61 17.61
Atoms (fractional coordinates):
Tb  0.106  0.106  0.106
Tb  0.894  0.894  0.894
Pm  0.000  0.000  0.000
Tc  0.500  0.500  0.500

---

Entry B
First-principles (PBE) data for a geometry-optimized Tb2PmTc structure, as listed in Alexandria via LeMat-Bulk.

Output
Calculated volume   222.03 Å³ per cell

abc: 6.382 6.382 9.267
angles: 90.00 90.00 143.96
Atoms (fractional coordinates):
Tb  0.146  0.854  0.568
Tb  0.146  0.854  0.932
Tb  0.854  0.146  0.068
Tb  0.854  0.146  0.432
Pm  0.427  0.573  0.750
Pm  0.573  0.427  0.250
Tc  0.239  0.761  0.250
Tc  0.761  0.239  0.750

---

Entry C
First-principles (PBE) data for a geometry-optimized Tb2PmTc structure, as listed in Alexandria via LeMat-Bulk.

Output
Calculated volume   109.35 Å³ per cell

abc: 3.466 3.466 9.100
angles: 90.00 90.00 90.00
Atoms (fractional coordinates):
Tb  0.000  0.000  0.182
Tb  0.000  0.000  0.818
Pm  0.500  0.500  0.500
Tc  0.500  0.500  0.000

---

Which one sits at the bottom of the stability order? entry A does.

---

Entry A
First-principles (PBE) data for a geometry-optimized Tb3PmTc structure, as listed in Alexandria via LeMat-Bulk.

Output
Calculated volume   285.34 Å³ per cell

abc: 8.729 3.816 8.753
angles: 90.00 101.85 90.00
Atoms (fractional coordinates):
Tb  0.027  0.250  0.165
Tb  0.340  0.250  0.889
Tb  0.423  0.250  0.317
Tb  0.577  0.750  0.683
Tb  0.660  0.750  0.111
Tb  0.973  0.750  0.835
Pm  0.169  0.750  0.512
Pm  0.831  0.250  0.488
Tc  0.263  0.750  0.100
Tc  0.737  0.250  0.900

---

Entry B
First-principles (PBE) data for a geometry-optimized Tb3PmTc structure, as listed in Alexandria via LeMat-Bulk.

Output
Calculated volume   158.06 Å³ per cell

abc: 5.407 5.407 5.407
angles: 90.00 90.00 90.00
Atoms (fractional coordinates):
Tb  0.000  0.000  0.500
Tb  0.000  0.500  0.000
Tb  0.500  0.000  0.000
Pm  0.500  0.500  0.500
Tc  0.000  0.000  0.000

---

Which one sits at the bottom of the stability order? entry B does.

---

Entry A
First-principles (PBE) data for a geometry-optimized Tb6PmTe8 structure, as listed in Alexandria via LeMat-Bulk.

Output
Calculated volume   465.86 Å³ per cell

abc: 8.204 8.204 8.204
angles: 69.23 69.23 69.23
Atoms (fractional coordinates):
Tb  0.080  0.693  0.453
Tb  0.307  0.547  0.920
Tb  0.453  0.080  0.693
Tb  0.547  0.920  0.307
Tb  0.693  0.453  0.080
Tb  0.920  0.307  0.547
Pm  0.000  0.000  0.000
Te  0.099  0.370  0.810
Te  0.190  0.901  0.630
Te  0.325  0.325  0.325
Te  0.370  0.810  0.099
Te  0.630  0.190  0.901
Te  0.675  0.675  0.675
Te  0.810  0.099  0.370
Te  0.901  0.630  0.190

---

Entry B
First-principles (PBE) data for a geometry-optimized Tb6PmTe8 structure, as listed in Alexandria via LeMat-Bulk.

Output
Calculated volume   468.95 Å³ per cell

abc: 8.721 8.721 8.721
angles: 60.00 60.00 60.00
Atoms (fractional coordinates):
Tb  0.000  0.000  0.500
Tb  0.000  0.500  0.000
Tb  0.000  0.500  0.500
Tb  0.500  0.000  0.000
Tb  0.500  0.000  0.500
Tb  0.500  0.500  0.000
Pm  0.000  0.000  0.000
Te  0.250  0.250  0.250
Te  0.259  0.259  0.741
Te  0.259  0.741  0.259
Te  0.259  0.741  0.741
Te  0.741  0.259  0.259
Te  0.741  0.259  0.741
Te  0.741  0.741  0.259
Te  0.750  0.750  0.750

---

Which one sits at the bottom of the stability order? entry A does.

---

Entry A
First-principles (PBE) data for a geometry-optimized TbPmTe structure, as listed in Alexandria via LeMat-Bulk.

Output
Calculated volume   90.62 Å³ per cell

abc: 6.496 6.496 6.496
angles: 144.80 144.80 50.63
Atoms (fractional coordinates):
Tb  0.000  0.000  0.000
Pm  0.308  0.308  0.000
Te  0.646  0.646  0.000

---

Entry B
First-principles (PBE) data for a geometry-optimized TbPmTe structure, as listed in Alexandria via LeMat-Bulk.

Output
Calculated volume   381.65 Å³ per cell

abc: 8.625 8.625 11.234
angles: 93.39 93.39 27.23
Atoms (fractional coordinates):
Tb  0.191  0.191  0.078
Tb  0.251  0.251  0.663
Tb  0.749  0.749  0.337
Tb  0.809  0.809  0.922
Pm  0.025  0.025  0.353
Pm  0.386  0.386  0.162
Pm  0.614  0.614  0.838
Pm  0.975  0.975  0.647
Te  0.382  0.382  0.457
Te  0.426  0.426  0.839
Te  0.574  0.574  0.161
Te  0.618  0.618  0.543

---

Entry C
First-principles (PBE) data for a geometry-optimized TbPmTe structure, as listed in Alexandria via LeMat-Bulk.

Output
Calculated volume   95.99 Å³ per cell

abc: 5.200 5.200 4.099
angles: 90.00 90.00 120.00
Atoms (fractional coordinates):
Tb  0.000  0.000  0.000
Pm  0.667  0.333  0.514
Te  0.333  0.667  0.808

---

Which one sits at the bottom of the stability order? entry C does.

---

Entry A
First-principles (PBE) data for a geometry-optimized Tb2PmTe structure, as listed in Alexandria via LeMat-Bulk.

Output
Calculated volume   138.87 Å³ per cell

abc: 11.002 11.002 11.002
angles: 20.19 20.19 20.19
Atoms (fractional coordinates):
Tb  0.103  0.103  0.103
Tb  0.897  0.897  0.897
Pm  0.000  0.000  0.000
Te  0.500  0.500  0.500

---

Entry B
First-principles (PBE) data for a geometry-optimized Tb2PmTe structure, as listed in Alexandria via LeMat-Bulk.

Output
Calculated volume   242.94 Å³ per cell

abc: 6.424 6.424 9.964
angles: 90.00 90.00 143.78
Atoms (fractional coordinates):
Tb  0.136  0.864  0.535
Tb  0.136  0.864  0.965
Tb  0.864  0.136  0.035
Tb  0.864  0.136  0.465
Pm  0.444  0.556  0.750
Pm  0.556  0.444  0.250
Te  0.268  0.732  0.250
Te  0.732  0.268  0.750

---

Entry C
First-principles (PBE) data for a geometry-optimized Tb2PmTe structure, as listed in Alexandria via LeMat-Bulk.

Output
Calculated volume   131.38 Å³ per cell

abc: 10.141 10.141 10.141
angles: 22.27 22.27 22.27
Atoms (fractional coordinates):
Tb  0.000  0.000  0.000
Tb  0.191  0.191  0.191
Pm  0.429  0.429  0.429
Te  0.596  0.596  0.596

---

Which one sits at the bottom of the stability order? entry A does.

---

Entry A
First-principles (PBE) data for a geometry-optimized Tb3PmTe6 structure, as listed in Alexandria via LeMat-Bulk.

Output
Calculated volume   377.62 Å³ per cell

abc: 8.155 8.155 7.543
angles: 117.27 117.27 63.24
Atoms (fractional coordinates):
Tb  0.000  0.000  0.000
Tb  0.250  0.250  0.827
Tb  0.750  0.750  0.173
Pm  0.500  0.500  0.500
Te  0.159  0.662  0.157
Te  0.247  0.247  0.427
Te  0.338  0.841  0.843
Te  0.662  0.159  0.157
Te  0.753  0.753  0.573
Te  0.841  0.338  0.843

---

Entry B
First-principles (PBE) data for a geometry-optimized Tb3PmTe6 structure, as listed in Alexandria via LeMat-Bulk.

Output
Calculated volume   669.05 Å³ per cell

abc: 12.526 4.392 12.884
angles: 90.00 109.29 90.00
Atoms (fractional coordinates):
Tb  0.067  0.250  0.166
Tb  0.183  0.750  0.502
Tb  0.345  0.250  0.919
Tb  0.655  0.750  0.081
Tb  0.817  0.250  0.498
Tb  0.933  0.750  0.834
Pm  0.454  0.250  0.304
Pm  0.546  0.750  0.696
Te  0.016  0.250  0.382
Te  0.107  0.250  0.939
Te  0.245  0.750  0.279
Te  0.307  0.750  0.750
Te  0.386  0.250  0.532
Te  0.415  0.750  0.099
Te  0.585  0.250  0.901
Te  0.614  0.750  0.468
Te  0.693  0.250  0.250
Te  0.755  0.250  0.721
Te  0.893  0.750  0.061
Te  0.984  0.750  0.618

---

Which one sits at the bottom of the stability order? entry A does.